{"formula": "ZrHgSe2", "functional": "PBE", "state": "relaxed", "cell": [[-2.8505, -3.0347, -0.4899], [3.9501, -0.9774, 1.0082], [-2.1653, 0.5744, 9.0408]], "species": ["Se", "Se", "Hg", "Zr"], "fractional_positions": [[0.3333, 0.6667, 0.7022], [0.6667, 0.3333, 0.3276], [0.0000, 0.0000, 0.9762], [0.3333, 0.6667, 0.4490]], "total_magnetization_mub_per_cell": 0.00, "relative_energy_mev_per_atom": 417, "raw_formation_energy_ev_per_fu": -2.3}

---

{"formula": "K2SrTa", "functional": "PBE", "state": "relaxed", "cell": [[-4.7420, -4.0461, 0.3432], [-4.5239, 0.8434, 4.2189], [-5.7103, 1.7192, -1.8476]], "species": ["Sr", "K", "K", "Ta"], "fractional_positions": [[0.0000, 0.0000, 0.0000], [0.2500, 0.2500, 0.2500], [0.7500, 0.7500, 0.7500], [0.5000, 0.5000, 0.5000]], "total_magnetization_mub_per_cell": 4.81, "delta_e_f_mev_per_atom": 1401, "relative_energy_mev_per_atom": 454}

---

{"formula": "NaLiPb2", "functional": "PBE", "state": "relaxed", "cell": [[4.8678, 0.0000, 0.0000], [-2.4339, 5.7215, 0.0000], [0.0000, 0.0000, 7.7978]], "species": ["Na", "Na", "Li", "Li", "Pb", "Pb", "Pb", "Pb"], "fractional_positions": [[0.9300, 0.8600, 0.2500], [0.0700, 0.1400, 0.7500], [0.2082, 0.4164, 0.2500], [0.7918, 0.5836, 0.7500], [0.3582, 0.7164, 0.5486], [0.6418, 0.2836, 0.4514], [0.6418, 0.2836, 0.0486], [0.3582, 0.7164, 0.9514]], "total_magnetization_mub_per_cell": 0.00, "delta_e_f_mev_per_atom": -196, "relative_energy_mev_per_atom": 15}

---

{"formula": "Mg2ZrPb", "functional": "PBE", "state": "relaxed", "cell": [[-2.1758, -1.4516, -2.1355], [-1.9565, -0.8956, 2.6022], [-4.1815, 7.2315, -0.6551]], "species": ["Mg", "Mg", "Pb", "Zr"], "fractional_positions": [[0.0000, 0.0000, 0.9925], [0.0000, 0.0000, 0.5075], [0.5000, 0.5000, 0.2500], [0.5000, 0.5000, 0.7500]], "total_magnetization_mub_per_cell": 0.00, "delta_e_f_mev_per_atom": 19}

---

{"formula": "InSn2HgSe4", "functional": "PBE", "state": "relaxed", "cell": [[-1.6052, 3.9428, -0.0567], [-4.8794, -2.0569, -4.8999], [-5.9760, -2.3840, 3.3964]], "species": ["In", "Sn", "Sn", "Hg", "Se", "Se", "Se", "Se"], "fractional_positions": [[0.0000, 0.5000, 0.5000], [0.0000, 0.0000, 0.0000], [0.5000, 0.0000, 0.5000], [0.5000, 0.5000, 0.0000], [0.0000, 0.7483, 0.7485], [0.0000, 0.2517, 0.2515], [0.5000, 0.7470, 0.2503], [0.5000, 0.2530, 0.7497]], "total_magnetization_mub_per_cell": 0.00, "raw_formation_energy_ev_per_fu": -2.6}

---

{"formula": "Cs2VSe4", "functional": "PBE", "state": "relaxed", "cell": [[-2.3708, 3.5574, -2.7789], [-0.8039, -3.4214, -3.6940], [-9.3799, -2.1766, 0.5382]], "species": ["Cs", "Cs", "Se", "Se", "Se", "Se", "V"], "fractional_positions": [[0.3508, 0.3508, 0.2984], [0.6492, 0.6492, 0.7016], [0.1353, 0.1353, 0.7295], [0.8647, 0.8647, 0.2705], [0.0000, 0.5000, 0.0000], [0.5000, 0.0000, 0.0000], [0.0000, 0.0000, 0.0000]], "total_magnetization_mub_per_cell": 0.98, "raw_formation_energy_ev_per_fu": -4.7}

---

{"formula": "Ba2BiPd2", "functional": "PBE", "state": "relaxed", "cell": [[6.2574, 0.0000, 0.0000], [-3.1287, 5.4329, 0.0953], [0.0000, -2.3485, 8.6866]], "species": ["Ba", "Ba", "Ba", "Ba", "Bi", "Bi", "Pd", "Pd", "Pd", "Pd"], "fractional_positions": [[0.4983, 0.2964, 0.1487], [0.2019, 0.7036, 0.3513], [0.5017, 0.7036, 0.8513], [0.7981, 0.2964, 0.6487], [0.8533, 0.0000, 0.2500], [0.1467, 0.0000, 0.7500], [0.7284, 0.7243, 0.5068], [0.0041, 0.2757, 0.9932], [0.2716, 0.2757, 0.4932], [0.9959, 0.7243, 0.0068]], "total_magnetization_mub_per_cell": 0.00, "delta_e_f_mev_per_atom": -663, "relative_energy_mev_per_atom": 12}

---

{"formula": "VOsSCl2", "functional": "PBE", "state": "relaxed", "cell": [[-3.6423, 2.7950, -1.8179], [-3.0731, -3.8585, 0.2247], [-1.1592, 1.1627, 4.1101]], "species": ["S", "Cl", "Cl", "Os", "V"], "fractional_positions": [[0.0000, 0.0000, 0.5000], [0.0000, 0.5000, 0.0000], [0.5000, 0.0000, 0.0000], [0.0000, 0.0000, 0.0000], [0.5000, 0.5000, 0.5000]], "total_magnetization_mub_per_cell": 1.03, "relative_energy_mev_per_atom": 64, "raw_formation_energy_ev_per_fu": 4.5}

---

{"formula": "Ta3Si23", "functional": "PBE", "state": "relaxed", "cell": [[-9.4524, -2.9252, 1.8082], [2.4097, -9.4072, -2.6214], [2.4535, -2.0303, 9.5411]], "species": ["Ta", "Ta", "Ta", "Ta", "Ta", "Ta", "Si", "Si", "Si", "Si", "Si", "Si", "Si", "Si", "Si", "Si", "Si", "Si", "Si", "Si", "Si", "Si", "Si", "Si", "Si", "Si", "Si", "Si", "Si", "Si", "Si", "Si", "Si", "Si", "Si", "Si", "Si", "Si", "Si", "Si", "Si", "Si", "Si", "Si", "Si", "Si", "Si", "Si", "Si", "Si", "Si", "Si"], "fractional_positions": [[0.2500, 0.0000, 0.5000], [0.7500, 0.0000, 0.5000], [0.0000, 0.5000, 0.2500], [0.0000, 0.5000, 0.7500], [0.5000, 0.2500, 0.0000], [0.5000, 0.7500, 0.0000], [0.2500, 0.5000, 0.0000], [0.7500, 0.5000, 0.0000], [0.5000, 0.0000, 0.2500], [0.5000, 0.0000, 0.7500], [0.0000, 0.2500, 0.5000], [0.0000, 0.7500, 0.5000], [0.1841, 0.1841, 0.1841], [0.1841, 0.8159, 0.8159], [0.8159, 0.1841, 0.8159], [0.8159, 0.8159, 0.1841], [0.3159, 0.3159, 0.3159], [0.3159, 0.6841, 0.6841], [0.6841, 0.3159, 0.6841], [0.6841, 0.6841, 0.3159], [0.8159, 0.8159, 0.8159], [0.8159, 0.1841, 0.1841], [0.1841, 0.8159, 0.1841], [0.1841, 0.1841, 0.8159], [0.6841, 0.6841, 0.6841], [0.6841, 0.3159, 0.3159], [0.3159, 0.6841, 0.3159], [0.3159, 0.3159, 0.6841], [0.0000, 0.1156, 0.3125], [0.0000, 0.8844, 0.6875], [0.0000, 0.1156, 0.6875], [0.0000, 0.8844, 0.3125], [0.1156, 0.3125, 0.0000], [0.1156, 0.6875, 0.0000], [0.8844, 0.3125, 0.0000], [0.8844, 0.6875, 0.0000], [0.3125, 0.0000, 0.1156], [0.3125, 0.0000, 0.8844], [0.6875, 0.0000, 0.8844], [0.6875, 0.0000, 0.1156], [0.3844, 0.5000, 0.1875], [0.3844, 0.5000, 0.8125], [0.6156, 0.5000, 0.8125], [0.6156, 0.5000, 0.1875], [0.5000, 0.1875, 0.3844], [0.5000, 0.8125, 0.6156], [0.5000, 0.1875, 0.6156], [0.5000, 0.8125, 0.3844], [0.1875, 0.3844, 0.5000], [0.1875, 0.6156, 0.5000], [0.8125, 0.3844, 0.5000], [0.8125, 0.6156, 0.5000]], "total_magnetization_mub_per_cell": 18.51, "raw_formation_energy_ev_per_fu": 16.4}

---

{"formula": "Tl4Re", "functional": "PBE", "state": "relaxed", "cell": [[-5.1310, -3.0688, -2.4216], [-1.6499, -1.9225, 5.9322], [-3.5370, 5.3277, 0.7428]], "species": ["Tl", "Tl", "Tl", "Tl", "Tl", "Tl", "Tl", "Tl", "Re", "Re"], "fractional_positions": [[0.2233, 0.2204, 0.3071], [0.7767, 0.7796, 0.3071], [0.2204, 0.7767, 0.6929], [0.7796, 0.2233, 0.6929], [0.2767, 0.7204, 0.1929], [0.7233, 0.2796, 0.1929], [0.2796, 0.2767, 0.8071], [0.7204, 0.7233, 0.8071], [0.0000, 0.0000, 0.0000], [0.5000, 0.5000, 0.5000]], "total_magnetization_mub_per_cell": 0.00, "delta_e_f_mev_per_atom": 467, "relative_energy_mev_per_atom": 0}

---

{"formula": "CuSbSe2", "functional": "PBE", "state": "relaxed", "cell": [[4.8316, 0.0961, 0.2409], [-1.9838, 4.4066, 0.2409], [1.2316, 1.9474, 4.2540]], "species": ["Cu", "Sb", "Se", "Se"], "fractional_positions": [[0.5000, 0.0000, 0.5000], [0.0000, 0.5000, 0.5000], [0.0000, 0.0000, 0.0000], [0.5000, 0.5000, 0.0000]], "total_magnetization_mub_per_cell": 0.00, "raw_formation_energy_ev_per_fu": 0.2}

---

{"formula": "SmPd9Au2", "functional": "PBE", "state": "relaxed", "cell": [[-3.0601, -2.6807, -0.2454], [1.9053, -1.8944, -3.0645], [5.6424, -7.1679, 7.9392]], "species": ["Sm", "Pd", "Pd", "Pd", "Pd", "Pd", "Pd", "Pd", "Pd", "Pd", "Au", "Au"], "fractional_positions": [[0.0000, 0.0000, 0.0000], [0.5000, 0.5000, 0.0000], [0.5000, 0.5000, 0.3374], [0.5000, 0.5000, 0.6626], [0.5000, 0.0000, 0.1755], [0.5000, 0.0000, 0.5000], [0.5000, 0.0000, 0.8245], [0.0000, 0.5000, 0.1755], [0.0000, 0.5000, 0.5000], [0.0000, 0.5000, 0.8245], [0.0000, 0.0000, 0.3395], [0.0000, 0.0000, 0.6605]], "total_magnetization_mub_per_cell": 0.00, "delta_e_f_mev_per_atom": -290}